VASP calculation (PBE-GGA) on Ba3Mg7Au4 after structural relaxation.

Calculated values
DFT total energy	-2.6080	eV per atom
crystal system	monoclinic
space group	C2/m

abc: 4.7040 9.1563 9.6968
angles: 70.26 75.96 75.12
Closest atoms and distances in Å follow each position.
Element x y z (fractional)
Ba 0.3054 0.1841 0.2050  4 Au 3.40-3.42, 10 Mg 3.49-3.75
Ba 0.6946 0.8159 0.7950  4 Au 3.40-3.42, 10 Mg 3.49-3.75
Ba 0.0000 0.5000 0.5000  6 Au 3.42-3.62
Mg 0.3216 0.8424 0.5144  4 Au 2.88-3.07, 1 Mg 3.14
Mg 0.4922 0.2171 0.7985  3 Au 2.81-2.96, 1 Mg 3.14
Mg 0.8379 0.3978 0.9264  3 Au 2.83-2.97
Mg 0.6784 0.1576 0.4856  4 Au 2.88-3.07, 1 Mg 3.14
Mg 0.1621 0.6022 0.0736  3 Au 2.83-2.97
Mg 0.0000 0.0000 0.0000  2 Au 2.96, 4 Mg 3.27
Mg 0.5078 0.7829 0.2015  3 Au 2.81-2.96, 1 Mg 3.14
Au 0.6598 0.4598 0.2205  5 Mg 2.81-3.07
Au 0.3402 0.5402 0.7795  5 Mg 2.81-3.07
Au 0.8856 0.8991 0.3297  6 Mg 2.88-3.06
Au 0.1144 0.1009 0.6703  6 Mg 2.88-3.06


VASP calculation (PBE-GGA) on K2TeAs after structural relaxation.

Calculated values
polymorph energy (0 for the lowest one)	0	meV/atom
crystal system	monoclinic
space group	Cm

abc: 8.1434 8.1434 5.1257
angles: 50.99 50.99 37.05
Closest atoms and distances in Å follow each position.
Element x y z (fractional)
As 0.3258 0.3258 0.2244  2 Te 2.81
K 0.0161 0.0161 0.8421  3 As 3.39-3.58, 4 Te 3.78-3.79
K 0.7325 0.7325 0.9090  3 Te 3.42-3.54, 4 As 3.79-3.80
Te 0.4257 0.4257 0.5244  2 As 2.81